A geometry-optimized Ac2Al3Hg structure. Source: the Alexandria database, functional PBE.

The total DFT energy (no corrections) is -3.6919 eV/atom. The value obtained for the volume is 1359 Å³/cell. The formation energy is -0.401 eV per atom. As for the density of states at the Fermi level: 1.010 states/eV/atom.

It has space group Fmmm (No. 69), with a = 9.221 Å, b = 9.230 Å, c = 15.969 Å, α = 90.00°, β = 90.00° and γ = 90.00°. The distinct sites, in fractional coordinates, are Ac at (0.247, 0.000, 0.000), Ac at (0.250, 0.250, 0.250), Al at (0.000, 0.000, 0.337), Al at (0.000, 0.244, 0.418) and Hg at (0.000, 0.000, 0.167).